Density functional theory data (PBE) for a relaxed structure of SbPbI2N.

Output
As for the energy relative to the lowest polymorph listed for this composition: 753 meV/atom. Its total energy is -2.65 eV/atom. As for the size of the total moment: 5.017 μB per cell. The energy relative to the elements, uncorrected comes out at 1.2025 eV/atom.

Structure (CIF):
```
data_SbPbI2N
_cell_length_a 6.331
_cell_length_b 6.331
_cell_length_c 6.124
_cell_angle_alpha 90.00
_cell_angle_beta 90.00
_cell_angle_gamma 90.00
_symmetry_space_group_name_H-M 'P 4/m m m'
_symmetry_Int_Tables_number 123
_symmetry_space_group_name_Hall '-P 4 2'
loop_
_atom_site_label
_atom_site_type_symbol
_atom_site_fract_x
_atom_site_fract_y
_atom_site_fract_z
Sb1 Sb 0.000 0.000 0.000
Pb1 Pb 0.000 0.000 0.500
I1 I 0.000 0.500 0.500
N1 N 0.500 0.500 0.000
```



Density functional theory data (PBE) for a relaxed structure of ErPa2As2N2.

Output
Its total energy is -8.57 eV/atom. As for the size of the total moment: 0.001 μB per cell. The energy relative to the elements, uncorrected comes out at -1.4965 eV/atom.

Structure (CIF):
```
data_ErPa2As2N2
_cell_length_a 12.023
_cell_length_b 3.894
_cell_length_c 6.935
_cell_angle_alpha 90.00
_cell_angle_beta 122.80
_cell_angle_gamma 90.00
_symmetry_space_group_name_H-M 'C 1 2/m 1'
_symmetry_Int_Tables_number 12
_symmetry_space_group_name_Hall '-C 2y'
loop_
_atom_site_label
_atom_site_type_symbol
_atom_site_fract_x
_atom_site_fract_y
_atom_site_fract_z
Er1 Er 0.000 0.000 0.000
Pa1 Pa 0.192 0.000 0.743
As1 As 0.071 0.500 0.347
N1 N 0.214 0.000 0.088
```



Density functional theory data (PBE) for a relaxed structure of Dy7Y16Er6.

Output
Its total energy is -5.37 eV/atom. As for the energy of formation from the pure elements: 0.25 eV per atom. As for the size of the total moment: 0.003 μB per cell.

Structure (CIF):
```
data_Dy7Y16Er6
_cell_length_a 15.742
_cell_length_b 15.742
_cell_length_c 15.742
_cell_angle_alpha 90.00
_cell_angle_beta 90.00
_cell_angle_gamma 90.00
_symmetry_space_group_name_H-M 'F m -3 m'
_symmetry_Int_Tables_number 225
_symmetry_space_group_name_Hall '-F 4 2 3'
loop_
_atom_site_label
_atom_site_type_symbol
_atom_site_fract_x
_atom_site_fract_y
_atom_site_fract_z
Dy1 Dy 0.000 0.000 0.000
Dy2 Dy 0.000 0.250 0.250
Y1 Y 0.123 0.123 0.123
Y2 Y 0.151 0.151 0.349
Er1 Er 0.000 0.000 0.271
```